1.
Crystalline Pm6Sn2Pb3 at its relaxed geometry, computed with GGA-PBE.

```
Pm6Sn2Pb3
1.0
-2.105 0.264 -5.580
0.083 -5.960 -0.313
-9.330 2.500 6.830
Pm Sn Pb
6 2 3
direct
0.088 0.588 0.177
0.588 0.088 0.177
0.912 0.412 0.823
0.412 0.912 0.823
0.701 0.701 0.402
0.299 0.299 0.598
0.436 0.436 0.871
0.564 0.564 0.129
0.000 0.000 0.000
0.842 0.842 0.684
0.158 0.158 0.316
```

Summary:
Calculated formation energy (eV/atom): -0.178

=====

2.
Crystalline BeZnTe2 at its relaxed geometry, computed with GGA-PBE.

```
BeZnTe2
1.0
5.920 0.000 0.001
0.000 8.391 0.000
0.000 0.000 4.175
Be Zn Te
2 2 4
direct
0.082 0.972 0.603
0.582 0.204 0.103
0.084 0.453 0.605
0.584 0.723 0.105
0.857 0.727 0.604
0.357 0.449 0.105
0.315 0.978 0.103
0.815 0.198 0.603
```

Summary:
Energy above the most stable polymorph in this dataset (eV/f.u.): 0.03
Formation energy from raw total energies (eV per atom): -0.3995

=====

3.
Crystalline Ac2PdPbAu6 at its relaxed geometry, computed with GGA-PBE.

```
Ac2PdPbAu6
1.0
-1.476 -2.800 -4.631
8.424 -3.342 1.545
2.257 -7.307 1.085
Ac Pd Pb Au
2 1 1 6
direct
0.673 0.193 0.579
0.327 0.807 0.421
0.000 0.000 0.000
0.500 0.500 0.000
0.284 0.418 0.474
0.037 0.925 0.703
0.175 0.705 0.083
0.825 0.295 0.917
0.963 0.075 0.297
0.716 0.582 0.526
```

Summary:
Calculated formation energy (eV/atom): -0.467

=====

So what do the calculations give for V? Going down the list: 394, 207, 255 Å³/cell.